[1]
DyY2Cu2B2N3 after structural relaxation, computed with PBE.

Results
VASP energy = -0.2714 Ha/atom
Magnetization = 0.0 Bohr magnetons per cell

a = 3.491 Å, b = 3.491 Å, c = 20.432 Å
α = 90.00°, β = 90.00°, γ = 90.00°
Space group I4/mmm (No. 139)
Asymmetric unit:
Dy  0.000  0.000  0.000 (multiplicity 2)
Y  0.000  0.000  0.379 (multiplicity 4)
Cu  0.000  0.500  0.250 (multiplicity 4)
B  0.000  0.000  0.184 (multiplicity 4)
N  0.000  0.000  0.114 (multiplicity 4)
N  0.000  0.000  0.500 (multiplicity 2)

=====

[2]
TmAgSnSeS2 after structural relaxation, computed with PBE.

Results
VASP energy = -0.1745 Ha/atom
Magnetization = 0.0 Bohr magnetons per cell

a = 3.952 Å, b = 13.252 Å, c = 10.584 Å
α = 90.00°, β = 90.00°, γ = 90.00°
Space group Cmcm (No. 63)
Asymmetric unit:
Tm  0.000  0.000  0.000 (multiplicity 4)
Ag  0.000  0.455  0.250 (multiplicity 4)
Sn  0.000  0.241  0.750 (multiplicity 4)
Se  0.000  0.096  0.250 (multiplicity 4)
S  0.000  0.363  0.048 (multiplicity 8)

=====

[3]
Mg3Sc2Zn3 after structural relaxation, computed with PBE.

Results
VASP energy = -0.1021 Ha/atom
Magnetization = 0.0 Bohr magnetons per cell

a = 4.751 Å, b = 6.144 Å, c = 10.543 Å
α = 90.00°, β = 90.00°, γ = 90.00°
Space group Amm2 (No. 38)
Asymmetric unit:
Mg  0.000  0.000  0.000 (multiplicity 2)
Mg  0.500  0.247  0.080 (multiplicity 4)
Sc  0.000  0.000  0.472 (multiplicity 2)
Sc  0.500  0.000  0.823 (multiplicity 2)
Zn  0.000  0.236  0.736 (multiplicity 4)
Zn  0.500  0.000  0.321 (multiplicity 2)

=====

[4]
AcGdTh after structural relaxation, computed with PBE.

Results
E_form = 925 meV per atom
Magnetization = 0.1 Bohr magnetons per cell

a = 7.990 Å, b = 7.990 Å, c = 7.990 Å
α = 90.00°, β = 90.00°, γ = 90.00°
Space group F-43m (No. 216)
Asymmetric unit:
Ac  0.000  0.000  0.000 (multiplicity 4)
Gd  0.250  0.250  0.750 (multiplicity 4)
Th  0.250  0.250  0.250 (multiplicity 4)

=====

[5]
La2AuO2 after structural relaxation, computed with PBE.

Results
VASP energy = -0.2643 Ha/atom
Magnetization = 0.0 Bohr magnetons per cell

a = 4.072 Å, b = 4.072 Å, c = 12.723 Å
α = 90.00°, β = 90.00°, γ = 90.00°
Space group I4/mmm (No. 139)
Asymmetric unit:
La  0.000  0.000  0.154 (multiplicity 4)
Au  0.000  0.000  0.500 (multiplicity 2)
O  0.000  0.500  0.250 (multiplicity 4)

=====

[6]
HoUOs after structural relaxation, computed with PBE.

Results
E_form = 174 meV per atom
Magnetization = 10.4 Bohr magnetons per cell

a = 6.653 Å, b = 6.653 Å, c = 6.653 Å
α = 90.00°, β = 90.00°, γ = 90.00°
Space group F-43m (No. 216)
Asymmetric unit:
Ho  0.000  0.000  0.000 (multiplicity 4)
U  0.000  0.000  0.500 (multiplicity 4)
Os  0.250  0.250  0.250 (multiplicity 4)

=====

[7]
Li3Au5 after structural relaxation, computed with PBE.

Results
VASP energy = -0.1172 Ha/atom

a = 7.075 Å, b = 12.375 Å, c = 2.901 Å
α = 90.00°, β = 90.00°, γ = 90.00°
Space group Cmmm (No. 65)
Asymmetric unit:
Li  0.000  0.000  0.000 (multiplicity 2)
Li  0.000  0.270  0.000 (multiplicity 4)
Au  0.000  0.500  0.000 (multiplicity 2)
Au  0.217  0.131  0.500 (multiplicity 8)

=====

[8]
BaSbAsPt2 after structural relaxation, computed with PBE.

Results
VASP energy = -0.1974 Ha/atom
Magnetization = 0.0 Bohr magnetons per cell

a = 4.739 Å, b = 4.648 Å, c = 10.386 Å
α = 90.00°, β = 91.74°, γ = 90.00°
Space group P2_1/m (No. 11)
Asymmetric unit:
Ba  0.241  0.250  0.261 (multiplicity 2)
Sb  0.287  0.250  0.871 (multiplicity 2)
As  0.251  0.750  0.498 (multiplicity 2)
Pt  0.200  0.750  0.998 (multiplicity 2)
Pt  0.254  0.250  0.604 (multiplicity 2)

=====

[9]
Cs3NaCd2Pb2 after structural relaxation, computed with PBE.

Results
VASP energy = -0.0656 Ha/atom

a = 7.256 Å, b = 6.894 Å, c = 7.487 Å
α = 90.00°, β = 104.90°, γ = 90.00°
Space group Pm (No. 6)
Asymmetric unit:
Cs  0.000  0.000  0.000 (multiplicity 1)
Cs  0.070  0.500  0.369 (multiplicity 1)
Cs  0.371  0.000  0.680 (multiplicity 1)
Na  0.695  0.500  0.698 (multiplicity 1)
Cd  0.545  0.248  0.206 (multiplicity 2)
Pb  0.328  0.500  0.918 (multiplicity 1)
Pb  0.810  0.000  0.463 (multiplicity 1)

=====

[10]
Sc2Nb4P3C3 after structural relaxation, computed with PBE.

Results
VASP energy = -0.3277 Ha/atom
Magnetization = 0.0 Bohr magnetons per cell

a = 9.950 Å, b = 5.756 Å, c = 12.288 Å
α = 90.00°, β = 105.71°, γ = 90.00°
Space group C2/c (No. 15)
Asymmetric unit:
Sc  0.046  0.082  0.394 (multiplicity 8)
Nb  0.116  0.412  0.600 (multiplicity 8)
Nb  0.219  0.418  0.900 (multiplicity 8)
P  0.000  0.422  0.250 (multiplicity 4)
P  0.169  0.086  0.751 (multiplicity 8)
C  0.085  0.254  0.000 (multiplicity 8)
C  0.250  0.250  0.500 (multiplicity 4)

=====

[11]
KRbZrTe3 after structural relaxation, computed with PBE.

Results
VASP energy = -0.1521 Ha/atom
Magnetization = 0.0 Bohr magnetons per cell

a = 17.636 Å, b = 4.364 Å, c = 13.823 Å
α = 90.00°, β = 90.00°, γ = 90.00°
Space group Pnma (No. 62)
Asymmetric unit:
K  0.227  0.250  0.000 (multiplicity 4)
Rb  0.060  0.250  0.419 (multiplicity 4)
Zr  0.006  0.750  0.150 (multiplicity 4)
Te  0.079  0.250  0.679 (multiplicity 4)
Te  0.084  0.750  0.945 (multiplicity 4)
Te  0.115  0.250  0.191 (multiplicity 4)

=====

[12]
BaZnAsO after structural relaxation, computed with PBE.

Results
VASP energy = -0.1584 Ha/atom

a = 3.409 Å, b = 6.202 Å, c = 8.107 Å
α = 90.00°, β = 90.00°, γ = 90.00°
Space group Pmc2_1 (No. 26)
Asymmetric unit:
Ba  0.000  0.163  0.000 (multiplicity 2)
Zn  0.500  0.324  0.360 (multiplicity 2)
As  0.500  0.359  0.666 (multiplicity 2)
O  0.000  0.162  0.313 (multiplicity 2)